VASP calculation (SCAN) on LaAlCu2 at its PBEsol-relaxed geometry.

calculated formation energy = -0.31 eV/atom
DFT total energy = -20.62 eV/atom

Cell lengths 4.1503, 4.1478, 5.7328 Å; angles 111.11, 90.00, 120.02 degrees
Element x y z (fractional)
La 0.4972 0.9944 0.4908
Cu 0.6954 0.3908 0.0870
Cu 0.0083 0.0166 0.0251
Al 0.2991 0.5982 0.8971